Entry from Alexandria: crystalline SrGdMgSn at its relaxed geometry (PBE-GGA).

Unit cell a=5.5401 b=5.5401 c=5.5401 alpha=60.00 beta=60.00 gamma=60.00
Last column: nearest neighbours and their distance in Å.
Element x y z (fractional)
Sr 0.5000 0.5000 0.5000  4 Mg 3.39, 4 Sn 3.39
Mg 0.7500 0.7500 0.7500  4 Sr 3.39, 4 Gd 3.39
Gd 0.0000 0.0000 0.0000  4 Sn 3.39, 4 Mg 3.39
Sn 0.2500 0.2500 0.2500  4 Gd 3.39, 4 Sr 3.39

Output
Density, g/cm3: 5.4
Electronic total energy, eV per cell: -22.8
Size of the total moment, μB/f.u.: 7.59
Formation energy, eV/atom: -0.35